DFT (PBE) results for a geometry-optimized Li4CdGe structure.

Structure (extended XYZ):
```
12
Lattice="4.676 0.000 0.000 0.000 4.565 0.042 -2.338 -2.381 9.369" Properties=species:S:1:pos:R:3 pbc="T T T"
Li 3.324 1.126 1.450
Li -0.986 1.058 7.961
Ge 3.764 3.423 0.031
Li -1.249 -1.208 6.387
Li 1.089 1.110 3.003
Li 0.986 -1.225 7.940
Li 3.587 3.392 3.024
Li 1.352 3.409 1.471
Cd 1.169 -1.190 4.685
Ge 0.912 1.141 0.010
Cd -1.169 1.092 4.706
Li 1.249 1.074 6.408
```

excess energy over the best structure of this formula in the dataset	40	meV/atom
space group	C2/c

---

DFT (PBE) results for a geometry-optimized Y2Cd3Ag structure.

Structure (extended XYZ):
```
6
Lattice="3.426 0.000 0.000 0.000 4.931 0.000 0.000 0.000 8.534" Properties=species:S:1:pos:R:3 pbc="T T T"
Cd 1.713 0.000 7.103
Ag 1.713 2.465 2.847
Cd 1.713 0.000 1.429
Cd 1.713 2.465 5.675
Y 0.000 0.000 4.184
Y 0.000 2.465 0.098
```

total DFT energy (no corrections)	-3.406	eV/atom
space group	Pmm2

---

DFT (PBE) results for a geometry-optimized Tm3Zn2Hg3 structure.

Structure (extended XYZ):
```
8
Lattice="3.710 0.000 0.000 0.000 6.509 -3.758 0.000 0.000 7.516" Properties=species:S:1:pos:R:3 pbc="T T T"
Tm 1.855 0.000 4.558
Hg 0.000 0.000 1.864
Tm 1.855 3.948 -2.279
Tm 1.855 2.562 1.479
Hg 0.000 1.614 -0.932
Hg 0.000 4.895 2.826
Zn 0.000 4.339 0.000
Zn 0.000 2.170 3.758
```

total DFT energy (no corrections)	-2.473	eV/atom
space group	P-62m